(1)
First-principles (PBE) data for an optimized crystal structure of Li3MgP, as listed in Alexandria via LeMat-Bulk.

a b c (Å): 4.7574 4.7574 4.7574
angles (deg): 90.00 90.00 90.00
With the nearest neighbours (Å) after each atom.
Space group Pm-3m (No. 221)
Unique sites:
Li1 0.0000 0.0000 0.5000 [3 per cell]  2 Mg 2.38
Mg1 0.0000 0.0000 0.0000 [1 per cell]  6 Li 2.38
P1 0.5000 0.5000 0.5000 [1 per cell]  12 Li 3.36

Values from the calculation:
Polymorph energy (0 for the lowest one) in meV per atom: 811
Density in g cm⁻³: 1.17
Energy relative to the elements in eV per atom: 0.5739

***

(2)
First-principles (PBE) data for an optimized crystal structure of Li2MgP, as listed in Alexandria via LeMat-Bulk.

a b c (Å): 6.3023 6.3023 6.3023
angles (deg): 90.00 90.00 90.00
With the nearest neighbours (Å) after each atom.
Space group Fm-3m (No. 225)
Unique sites:
Li1 0.2500 0.2500 0.2500 [8 per cell]  4 Mg 2.73, 4 P 2.73
Mg1 0.0000 0.0000 0.0000 [4 per cell]  8 Li 2.73
P1 0.0000 0.0000 0.5000 [4 per cell]  8 Li 2.73

Values from the calculation:
Polymorph energy (0 for the lowest one) in meV per atom: 124
Density in g cm⁻³: 1.84
Energy relative to the elements in eV per atom: -0.3153

***

(3)
First-principles (PBE) data for an optimized crystal structure of LiMg2P2, as listed in Alexandria via LeMat-Bulk.

a b c (Å): 4.3472 4.3472 10.4758
angles (deg): 90.00 90.00 90.00
With the nearest neighbours (Å) after each atom.
Space group I4/mmm (No. 139)
Unique sites:
Li1 0.0000 0.0000 0.0000 [2 per cell]  8 P 3.30, 8 Mg 3.40
Mg1 0.0000 0.5000 0.2500 [4 per cell]  4 P 2.59
P1 0.0000 0.0000 0.3845 [4 per cell]  1 P 2.42, 4 Mg 2.59

Values from the calculation:
Polymorph energy (0 for the lowest one) in meV per atom: 37
Density in g cm⁻³: 1.97
Energy relative to the elements in eV per atom: -0.3672

***

(4)
First-principles (PBE) data for an optimized crystal structure of LiMg3P, as listed in Alexandria via LeMat-Bulk.

a b c (Å): 4.9782 4.9782 4.9782
angles (deg): 90.00 90.00 90.00
With the nearest neighbours (Å) after each atom.
Space group Pm-3m (No. 221)
Unique sites:
Li1 0.0000 0.0000 0.0000 [1 per cell]  12 Mg 3.52
Mg1 0.0000 0.5000 0.5000 [3 per cell]  2 P 2.49
P1 0.5000 0.5000 0.5000 [1 per cell]  6 Mg 2.49

Values from the calculation:
Polymorph energy (0 for the lowest one) in meV per atom: 0
Density in g cm⁻³: 1.49
Energy relative to the elements in eV per atom: 0.0058

***

(5)
First-principles (PBE) data for an optimized crystal structure of Li2MgP, as listed in Alexandria via LeMat-Bulk.

a b c (Å): 4.0285 4.0285 7.6928
angles (deg): 90.00 90.00 90.00
With the nearest neighbours (Å) after each atom.
Space group I-4m2 (No. 119)
Unique sites:
Li1 0.0000 0.0000 0.0000 [2 per cell]  4 Li 2.78, 4 Mg 2.78, 4 P 2.85
Li2 0.0000 0.5000 0.2500 [2 per cell]  4 Li 2.78, 4 P 2.78, 4 Mg 2.85
Mg1 0.0000 0.5000 0.7500 [2 per cell]  8 Li 2.78-2.85, 4 P 2.78
P1 0.0000 0.0000 0.5000 [2 per cell]  8 Li 2.78-2.85, 4 Mg 2.78

Values from the calculation:
Polymorph energy (0 for the lowest one) in meV per atom: 85
Density in g cm⁻³: 1.84
Energy relative to the elements in eV per atom: -0.3542

***

(6)
First-principles (PBE) data for an optimized crystal structure of Li2MgP, as listed in Alexandria via LeMat-Bulk.

a b c (Å): 3.8690 3.8690 4.1047
angles (deg): 90.00 90.00 90.00
With the nearest neighbours (Å) after each atom.
Space group P4/mmm (No. 123)
Unique sites:
Li1 0.0000 0.5000 0.0000 [2 per cell]  4 Li 2.74, 4 Mg 2.82, 4 P 2.82
Mg1 0.0000 0.0000 0.5000 [1 per cell]  4 P 2.74, 8 Li 2.82
P1 0.5000 0.5000 0.5000 [1 per cell]  4 Mg 2.74, 8 Li 2.82

Values from the calculation:
Polymorph energy (0 for the lowest one) in meV per atom: 0
Density in g cm⁻³: 1.87
Energy relative to the elements in eV per atom: -0.4389

***

(7)
First-principles (PBE) data for an optimized crystal structure of LiMg2P2, as listed in Alexandria via LeMat-Bulk.

a b c (Å): 7.5125 7.5125 3.1645
angles (deg): 90.00 90.00 90.00
With the nearest neighbours (Å) after each atom.
Space group P4/mbm (No. 127)
Unique sites:
Li1 0.0000 0.0000 0.0000 [2 per cell]  4 P 2.80
Mg1 0.1372 0.3628 0.5000 [4 per cell]  6 P 2.62-2.78, 1 Mg 2.91
P1 0.1659 0.6659 0.0000 [4 per cell]  6 Mg 2.62-2.78, 2 Li 2.80

Values from the calculation:
Polymorph energy (0 for the lowest one) in meV per atom: 0
Density in g cm⁻³: 2.18
Energy relative to the elements in eV per atom: -0.4039

***

(8)
First-principles (PBE) data for an optimized crystal structure of Li2MgP, as listed in Alexandria via LeMat-Bulk.

a b c (Å): 6.3885 6.3885 6.3885
angles (deg): 90.00 90.00 90.00
With the nearest neighbours (Å) after each atom.
Space group F-43m (No. 216)
Unique sites:
Li1 0.0000 0.0000 0.0000 [4 per cell]  4 Li 2.77, 4 P 2.77
Li2 0.2500 0.2500 0.2500 [4 per cell]  4 Li 2.77, 4 Mg 2.77
Mg1 0.0000 0.0000 0.5000 [4 per cell]  4 P 2.77, 4 Li 2.77
P1 0.2500 0.2500 0.7500 [4 per cell]  4 Li 2.77, 4 Mg 2.77

Values from the calculation:
Polymorph energy (0 for the lowest one) in meV per atom: 147
Density in g cm⁻³: 1.76
Energy relative to the elements in eV per atom: -0.2916

***

no.,calculated total energy (eV/atom)
1,-1.98
2,-3.02
3,-3.55
4,-2.42
5,-3.06
6,-3.15
7,-3.59
8,-3.00